No. 1
The following is a PBE calculation of TiCuSeBr2 after structural relaxation, from Alexandria via LeMat-Bulk.

a b c (Å): 5.147 5.147 4.933
angles (deg): 90.00 90.00 90.00
Space group P4/mmm (No. 123)
Symmetry-distinct sites (fractional):
1 Ti 0.000 0.000 0.000 x1
2 Cu 0.500 0.500 0.500 x1
3 Se 0.000 0.000 0.500 x1
4 Br 0.000 0.500 0.000 x2

Summary:
- N(E_F): 2.9 states/eV per cell
- Distance to the lowest polymorph of the same formula: 0 meV per atom
- ΔE_f (raw): -0.1786 eV per atom

---

No. 2
The following is a PBE calculation of Pa6FeN12 after structural relaxation, from Alexandria via LeMat-Bulk.

a b c (Å): 9.8881 9.8881 9.3975
angles (deg): 90.00 90.00 120.00
Space group R-3 (No. 148, hexagonal axes)
Symmetry-distinct sites (fractional):
1 Pa 0.0524 0.7943 0.1588 x18
2 Fe 0.0000 0.0000 0.5000 x3
3 N 0.0351 0.8070 0.9034 x18
4 N 0.0439 0.8438 0.3964 x18

Summary:
- N(E_F): 33.3 states/eV per cell
- ΔE_f (raw): -1.2727 eV per atom

---

No. 3
The following is a PBE calculation of CaCoHg2 after structural relaxation, from Alexandria via LeMat-Bulk.

a b c (Å): 3.6408 3.6408 25.0476
angles (deg): 90.00 90.00 120.00
Space group R3m (No. 160, hexagonal axes)
Symmetry-distinct sites (fractional):
1 Ca 0.0000 0.0000 0.0000 x3
2 Co 0.0000 0.0000 0.2528 x3
3 Hg 0.0000 0.0000 0.5202 x3
4 Hg 0.0000 0.0000 0.7633 x3

Summary:
- N(E_F): 10.3 states/eV per cell
- ΔE_f: 1.1 eV per formula unit

---

No. 4
The following is a PBE calculation of GdLuMgIr after structural relaxation, from Alexandria via LeMat-Bulk.

a b c (Å): 7.064 7.064 7.064
angles (deg): 90.00 90.00 90.00
Space group F-43m (No. 216)
Symmetry-distinct sites (fractional):
1 Gd 0.000 0.000 0.000 x4
2 Lu 0.000 0.000 0.500 x4
3 Mg 0.250 0.250 0.750 x4
4 Ir 0.250 0.250 0.250 x4

Summary:
- N(E_F): 9.3 states/eV per cell
- ΔE_f: -1.9 eV per formula unit